Density functional theory data (PBE) for crystalline SrPuRuO6 at its relaxed geometry.

Cell: 5.3555 5.3555 11.0586 Å, 90.00 90.00 120.00°
Last column: nearest neighbours and their distance in Å.
Fractional positions:
Sr1 0.0000 0.0000 0.0000  6 O 2.54
Sr2 0.0000 0.0000 0.5000  6 O 2.54
Pu1 0.3333 0.6667 0.2500  6 O 2.09
Pu2 0.6667 0.3333 0.7500  6 O 2.09
Ru1 0.3333 0.6667 0.7500  6 O 2.01
Ru2 0.6667 0.3333 0.2500  6 O 2.01
O1 0.0102 0.3675 0.6482  1 Ru 2.01, 1 Pu 2.09
O2 0.0102 0.6427 0.8518  1 Ru 2.01, 1 Pu 2.09
O3 0.3573 0.3675 0.8518  1 Ru 2.01, 1 Pu 2.09
O4 0.3573 0.9898 0.6482  1 Ru 2.01, 1 Pu 2.09
O5 0.3675 0.0102 0.1482  1 Ru 2.01, 1 Pu 2.09
O6 0.3675 0.3573 0.3518  1 Ru 2.01, 1 Pu 2.09
O7 0.6325 0.6427 0.6482  1 Ru 2.01, 1 Pu 2.09
O8 0.6325 0.9898 0.8518  1 Ru 2.01, 1 Pu 2.09
O9 0.6427 0.0102 0.3518  1 Ru 2.01, 1 Pu 2.09
O10 0.6427 0.6325 0.1482  1 Ru 2.01, 1 Pu 2.09
O11 0.9898 0.3573 0.1482  1 Ru 2.01, 1 Pu 2.09
O12 0.9898 0.6325 0.3518  1 Ru 2.01, 1 Pu 2.09

Results
The density of states at the Fermi level is 12.73 states/eV/cell. The uncorrected formation energy is -19.46 eV/f.u.